ZnPAu2: optimized geometry, PBE-GGA.

Calculated values
**ΔE_f**: 0.079 eV per atom
**Magnetic moment**: 0.00 Bohr magnetons per cell
**Energy relative to the lowest polymorph listed for this composition**: 7.5 meV per atom
**Total DFT energy (no corrections)**: -3.230 eV/atom

```
data_ZnPAu2
_chemical_formula_sum 'Zn1 P1 Au2'
_space_group_name_H-M_alt 'P 1'
_space_group_IT_number 1
_space_group_name_Hall 'P 1'
_cell_length_a 2.784
_cell_length_b 4.799
_cell_length_c 5.200
_cell_angle_alpha 90.00
_cell_angle_beta 90.00
_cell_angle_gamma 90.00
loop_
_atom_site_label
_atom_site_type_symbol
_atom_site_fract_x
_atom_site_fract_y
_atom_site_fract_z
Zn1 Zn 0.000 0.000 0.000
P1 P 0.500 0.500 0.608
Au1 Au 0.500 0.000 0.498
Au2 Au 0.500 0.500 0.100
```



Sm3Ho5Se8: optimized geometry, PBE-GGA.

Calculated values
**Formation energy without anion corrections**: -28.05 eV per formula unit
**Magnetic moment**: 0.00 Bohr magnetons per cell
**Total DFT energy (no corrections)**: -5.811 eV/atom

```
data_Sm3Ho5Se8
_chemical_formula_sum 'Sm3 Ho5 Se8'
_space_group_name_H-M_alt 'P 1'
_space_group_IT_number 1
_space_group_name_Hall 'P 1'
_cell_length_a 8.232
_cell_length_b 8.232
_cell_length_c 8.232
_cell_angle_alpha 59.53
_cell_angle_beta 59.53
_cell_angle_gamma 59.53
loop_
_atom_site_label
_atom_site_type_symbol
_atom_site_fract_x
_atom_site_fract_y
_atom_site_fract_z
Sm1 Sm 0.000 0.500 0.500
Sm2 Sm 0.500 0.000 0.500
Sm3 Sm 0.500 0.500 0.000
Ho1 Ho 0.000 0.000 0.000
Ho2 Ho 0.000 0.000 0.500
Ho3 Ho 0.000 0.500 0.000
Ho4 Ho 0.500 0.000 0.000
Ho5 Ho 0.500 0.500 0.500
Se1 Se 0.242 0.750 0.750
Se2 Se 0.246 0.246 0.246
Se3 Se 0.250 0.250 0.758
Se4 Se 0.250 0.758 0.250
Se5 Se 0.750 0.242 0.750
Se6 Se 0.750 0.750 0.242
Se7 Se 0.754 0.754 0.754
Se8 Se 0.758 0.250 0.250
```



AgIrW2: optimized geometry, PBE-GGA.

Calculated values
**ΔE_f**: 0.435 eV per atom
**Magnetic moment**: 0.00 Bohr magnetons per cell
**Energy relative to the lowest polymorph listed for this composition**: 197.5 meV per atom
**Total DFT energy (no corrections)**: -8.970 eV/atom

```
data_AgIrW2
_chemical_formula_sum 'Ag1 Ir1 W2'
_space_group_name_H-M_alt 'P 1'
_space_group_IT_number 1
_space_group_name_Hall 'P 1'
_cell_length_a 4.858
_cell_length_b 4.858
_cell_length_c 4.858
_cell_angle_alpha 131.17
_cell_angle_beta 131.17
_cell_angle_gamma 71.54
loop_
_atom_site_label
_atom_site_type_symbol
_atom_site_fract_x
_atom_site_fract_y
_atom_site_fract_z
Ag1 Ag 0.000 0.000 0.000
Ir1 Ir 0.250 0.750 0.500
W1 W 0.500 0.500 0.000
W2 W 0.750 0.250 0.500
```



Hf2SiB: optimized geometry, PBE-GGA.

Calculated values
**Formation energy without anion corrections**: 0.37 eV per formula unit
**Magnetic moment**: 0.00 Bohr magnetons per cell
**Energy relative to the lowest polymorph listed for this composition**: 842.1 meV per atom
**Total DFT energy (no corrections)**: -7.909 eV/atom

```
data_Hf2SiB
_chemical_formula_sum 'Hf2 Si1 B1'
_space_group_name_H-M_alt 'P 1'
_space_group_IT_number 1
_space_group_name_Hall 'P 1'
_cell_length_a 4.476
_cell_length_b 4.476
_cell_length_c 4.476
_cell_angle_alpha 60.00
_cell_angle_beta 60.00
_cell_angle_gamma 60.00
loop_
_atom_site_label
_atom_site_type_symbol
_atom_site_fract_x
_atom_site_fract_y
_atom_site_fract_z
Hf1 Hf 0.250 0.250 0.250
Hf2 Hf 0.750 0.750 0.750
Si1 Si 0.000 0.000 0.000
B1 B 0.500 0.500 0.500
```



Question: Number 2 is which compound?
Answer: Sm3Ho5Se8